! NaTm2MgTe4 | Alexandria via LeMat-Bulk | PBE | relaxed; values from VASP
! ΔE_f (raw)   -1.09 eV per atom
! D(E_F)   3.25 states/eV/f.u.
! Space group   No. 119
&SYSTEM
  ibrav = 0, nat = 8, ntyp = 4
/
ATOMIC_SPECIES
Na 22.99 Na.upf
Tm 168.93 Tm.upf
Mg 24.30 Mg.upf
Te 127.60 Te.upf
ATOMIC_POSITIONS crystal
Na 0.000 0.000 0.000
Tm 0.500 0.500 0.000
Tm 0.750 0.250 0.500
Mg 0.250 0.750 0.500
Te 0.255 0.255 0.000
Te 0.501 0.001 0.500
Te 0.745 0.745 0.000
Te 0.999 0.499 0.500
CELL_PARAMETERS angstrom
-3.067 3.067 6.228
3.067 -3.067 6.228
3.067 3.067 -6.228

***

! Pm2Nd4Y2Mg | Alexandria via LeMat-Bulk | PBE | relaxed; values from VASP
! Formation energy   1.17 eV per formula unit
! D(E_F)   11.12 states/eV/f.u.
! Space group   No. 2
&SYSTEM
  ibrav = 0, nat = 9, ntyp = 4
/
ATOMIC_SPECIES
Pm 145.00 Pm.upf
Nd 144.24 Nd.upf
Y 88.91 Y.upf
Mg 24.30 Mg.upf
ATOMIC_POSITIONS crystal
Pm 0.083 0.162 0.094
Pm 0.917 0.838 0.906
Nd 0.029 0.388 0.693
Nd 0.492 0.674 0.163
Nd 0.508 0.326 0.837
Nd 0.971 0.612 0.307
Y 0.465 0.843 0.684
Y 0.535 0.157 0.316
Mg 0.000 0.000 0.500
CELL_PARAMETERS angstrom
6.565 0.000 0.000
3.099 6.413 0.000
1.748 -0.678 7.236

***

! Hg4Se2Br5 | Alexandria via LeMat-Bulk | PBE | relaxed; values from VASP
! ΔE_f (raw)   -0.26 eV per atom
! D(E_F)   2.45 states/eV/f.u.
! Space group   No. 2
&SYSTEM
  ibrav = 0, nat = 11, ntyp = 3
/
ATOMIC_SPECIES
Hg 200.59 Hg.upf
Se 78.96 Se.upf
Br 79.90 Br.upf
ATOMIC_POSITIONS crystal
Hg 0.015 0.472 0.199
Hg 0.354 0.132 0.350
Hg 0.646 0.868 0.650
Hg 0.985 0.528 0.801
Se 0.464 0.549 0.615
Se 0.536 0.451 0.385
Br 0.145 0.834 0.375
Br 0.226 0.878 0.843
Br 0.500 0.500 0.000
Br 0.774 0.122 0.157
Br 0.855 0.166 0.625
CELL_PARAMETERS angstrom
4.432 0.000 0.000
-2.192 8.526 0.000
-1.533 -1.853 9.623

***

! Ac6Ge2PtS3 | Alexandria via LeMat-Bulk | PBE | relaxed; values from VASP
! ΔE_f (raw)   -1.43 eV per atom
! D(E_F)   5.87 states/eV/f.u.
! Space group   No. 12
&SYSTEM
  ibrav = 0, nat = 12, ntyp = 4
/
ATOMIC_SPECIES
Ac 227.00 Ac.upf
Ge 72.64 Ge.upf
Pt 195.08 Pt.upf
S 32.06 S.upf
ATOMIC_POSITIONS crystal
Ac 0.001 0.001 0.253
Ac 0.332 0.332 0.916
Ac 0.335 0.335 0.416
Ac 0.665 0.665 0.584
Ac 0.668 0.668 0.084
Ac 0.999 0.999 0.747
Ge 0.164 0.164 0.831
Ge 0.836 0.836 0.169
Pt 0.500 0.500 0.500
S 0.170 0.170 0.335
S 0.500 0.500 0.000
S 0.830 0.830 0.665
CELL_PARAMETERS angstrom
9.692 -2.233 0.000
9.692 2.233 0.000
-2.108 0.000 8.677